{
  "formula": "SrIn4Pb15",
  "functional": "PBE",
  "state": "relaxed",
  "e_form_ev_per_atom": -0.036,
  "rho_g_cm3": 9.80,
  "space_group": "P4/mmm (123)",
  "dft_energy_ev_per_cell": -68.98,
  "cell": [[4.982, 0.000, 0.000], [0.000, 4.982, 0.000], [0.000, 0.000, 24.953]],
  "species": ["Sr", "In", "In", "In", "In", "Pb", "Pb", "Pb", "Pb", "Pb", "Pb", "Pb", "Pb", "Pb", "Pb", "Pb", "Pb", "Pb", "Pb", "Pb"],
  "fractional_positions": [[0.000, 0.000, 0.000], [0.000, 0.000, 0.201], [0.000, 0.000, 0.400], [0.000, 0.000, 0.600], [0.000, 0.000, 0.799], [0.000, 0.500, 0.105], [0.000, 0.500, 0.300], [0.000, 0.500, 0.500], [0.000, 0.500, 0.700], [0.000, 0.500, 0.895], [0.500, 0.000, 0.105], [0.500, 0.000, 0.300], [0.500, 0.000, 0.500], [0.500, 0.000, 0.700], [0.500, 0.000, 0.895], [0.500, 0.500, 0.000], [0.500, 0.500, 0.202], [0.500, 0.500, 0.400], [0.500, 0.500, 0.600], [0.500, 0.500, 0.798]]
}

---

{
  "formula": "Sr2InPb",
  "functional": "PBE",
  "state": "relaxed",
  "e_form_ev_per_atom": -0.477,
  "rho_g_cm3": 6.00,
  "space_group": "Cmmm (65)",
  "dft_energy_ev_per_cell": -23.44,
  "de_polymorph_mev_per_atom": 26,
  "cell": [[8.317, 0.000, 0.000], [0.000, 8.334, 0.000], [0.000, 0.000, 3.974]],
  "species": ["Sr", "Sr", "Sr", "Sr", "In", "In", "Pb", "Pb"],
  "fractional_positions": [[0.250, 0.250, 0.000], [0.250, 0.750, 0.000], [0.750, 0.250, 0.000], [0.750, 0.750, 0.000], [0.000, 0.000, 0.500], [0.500, 0.500, 0.500], [0.000, 0.500, 0.500], [0.500, 0.000, 0.500]]
}

---

{
  "formula": "SrIn3Pb",
  "functional": "PBE",
  "state": "relaxed",
  "e_form_ev_per_atom": 0.213,
  "rho_g_cm3": 5.25,
  "space_group": "Pm-3m (221)",
  "dft_energy_ev_per_cell": -12.54,
  "de_polymorph_mev_per_atom": 436,
  "cell": [[5.869, 0.000, 0.000], [0.000, 5.869, 0.000], [0.000, 0.000, 5.869]],
  "species": ["Sr", "In", "In", "In", "Pb"],
  "fractional_positions": [[0.000, 0.000, 0.000], [0.000, 0.500, 0.500], [0.500, 0.000, 0.500], [0.500, 0.500, 0.000], [0.500, 0.500, 0.500]]
}

---

{
  "formula": "Sr6In2Pb",
  "functional": "PBE",
  "state": "relaxed",
  "e_form_ev_per_atom": -0.347,
  "rho_g_cm3": 4.33,
  "space_group": "Immm (71)",
  "dft_energy_ev_per_cell": -44.80,
  "cell": [[-5.496, 5.546, 6.059], [5.496, -5.546, 6.059], [5.496, 5.546, -6.059]],
  "species": ["Sr", "Sr", "Sr", "Sr", "Sr", "Sr", "Sr", "Sr", "Sr", "Sr", "Sr", "Sr", "In", "In", "In", "In", "Pb", "Pb"],
  "fractional_positions": [[0.052, 0.249, 0.804], [0.165, 0.465, 0.300], [0.165, 0.865, 0.700], [0.322, 0.228, 0.549], [0.322, 0.772, 0.094], [0.445, 0.249, 0.196], [0.555, 0.751, 0.804], [0.678, 0.228, 0.906], [0.678, 0.772, 0.451], [0.835, 0.135, 0.300], [0.835, 0.535, 0.700], [0.948, 0.751, 0.196], [0.166, 0.500, 0.666], [0.378, 0.878, 0.500], [0.622, 0.122, 0.500], [0.834, 0.500, 0.334], [0.000, 0.000, 0.000], [0.500, 0.500, 0.000]]
}

---

{
  "formula": "SrIn2Pb2",
  "functional": "PBE",
  "state": "relaxed",
  "e_form_ev_per_atom": -0.183,
  "rho_g_cm3": 7.20,
  "space_group": "I4/mmm (139)",
  "dft_energy_ev_per_cell": -30.98,
  "de_polymorph_mev_per_atom": 41,
  "cell": [[4.967, 0.000, 0.000], [0.000, 4.967, 0.000], [0.000, 0.000, 13.672]],
  "species": ["Sr", "Sr", "In", "In", "In", "In", "Pb", "Pb", "Pb", "Pb"],
  "fractional_positions": [[0.000, 0.000, 0.000], [0.500, 0.500, 0.500], [0.000, 0.000, 0.395], [0.000, 0.000, 0.605], [0.500, 0.500, 0.105], [0.500, 0.500, 0.895], [0.000, 0.500, 0.250], [0.000, 0.500, 0.750], [0.500, 0.000, 0.250], [0.500, 0.000, 0.750]]
}

---

{
  "formula": "SrInPb",
  "functional": "PBE",
  "state": "relaxed",
  "e_form_ev_per_atom": -0.009,
  "rho_g_cm3": 6.02,
  "space_group": "F-43m (216)",
  "dft_energy_ev_per_cell": -32.63,
  "cell": [[7.675, 0.000, 0.000], [0.000, 7.675, 0.000], [0.000, 0.000, 7.675]],
  "species": ["Sr", "Sr", "Sr", "Sr", "In", "In", "In", "In", "Pb", "Pb", "Pb", "Pb"],
  "fractional_positions": [[0.000, 0.000, 0.000], [0.000, 0.500, 0.500], [0.500, 0.000, 0.500], [0.500, 0.500, 0.000], [0.250, 0.250, 0.250], [0.250, 0.750, 0.750], [0.750, 0.250, 0.750], [0.750, 0.750, 0.250], [0.250, 0.250, 0.750], [0.250, 0.750, 0.250], [0.750, 0.250, 0.250], [0.750, 0.750, 0.750]]
}

---

{
  "formula": "SrInPb",
  "functional": "PBE",
  "state": "relaxed",
  "e_form_ev_per_atom": -0.308,
  "rho_g_cm3": 6.93,
  "space_group": "Imm2 (44)",
  "dft_energy_ev_per_cell": -18.11,
  "cell": [[3.916, 0.000, 0.000], [0.000, 4.228, 0.000], [0.000, 0.000, 11.853]],
  "species": ["Sr", "Sr", "In", "In", "Pb", "Pb"],
  "fractional_positions": [[0.000, 0.000, 0.000], [0.500, 0.500, 0.500], [0.000, 0.000, 0.684], [0.500, 0.500, 0.184], [0.000, 0.000, 0.309], [0.500, 0.500, 0.809]]
}

---

{
  "formula": "Sr2InPb",
  "functional": "PBE",
  "state": "relaxed",
  "e_form_ev_per_atom": -0.478,
  "rho_g_cm3": 5.99,
  "space_group": "Fm-3m (225)",
  "dft_energy_ev_per_cell": -46.90,
  "de_polymorph_mev_per_atom": 24,
  "cell": [[8.201, 0.000, 0.000], [0.000, 8.201, 0.000], [0.000, 0.000, 8.201]],
  "species": ["Sr", "Sr", "Sr", "Sr", "Sr", "Sr", "Sr", "Sr", "In", "In", "In", "In", "Pb", "Pb", "Pb", "Pb"],
  "fractional_positions": [[0.250, 0.250, 0.250], [0.250, 0.250, 0.750], [0.250, 0.750, 0.250], [0.250, 0.750, 0.750], [0.750, 0.250, 0.250], [0.750, 0.250, 0.750], [0.750, 0.750, 0.250], [0.750, 0.750, 0.750], [0.000, 0.000, 0.000], [0.000, 0.500, 0.500], [0.500, 0.000, 0.500], [0.500, 0.500, 0.000], [0.000, 0.000, 0.500], [0.000, 0.500, 0.000], [0.500, 0.000, 0.000], [0.500, 0.500, 0.500]]
}

---

{
  "formula": "SrIn2Pb",
  "functional": "PBE",
  "state": "relaxed",
  "e_form_ev_per_atom": -0.223,
  "rho_g_cm3": 6.89,
  "space_group": "P2/m (10)",
  "dft_energy_ev_per_cell": -11.76,
  "cell": [[3.718, 0.000, 0.000], [0.000, 5.616, 0.000], [-0.350, 0.000, 6.054]],
  "species": ["Sr", "In", "In", "Pb"],
  "fractional_positions": [[0.000, 0.000, 0.000], [0.412, 0.500, 0.749], [0.588, 0.500, 0.251], [0.500, 0.000, 0.500]]
}

---

{
  "formula": "SrInPb",
  "functional": "PBE",
  "state": "relaxed",
  "e_form_ev_per_atom": -0.347,
  "rho_g_cm3": 6.87,
  "space_group": "P1 (1)",
  "dft_energy_ev_per_cell": -36.68,
  "cell": [[6.484, 0.000, 0.000], [-2.351, 7.765, 0.000], [-2.819, -3.297, 7.871]],
  "species": ["Sr", "Sr", "Sr", "Sr", "In", "In", "In", "In", "Pb", "Pb", "Pb", "Pb"],
  "fractional_positions": [[0.000, 0.000, 0.000], [0.022, 0.867, 0.463], [0.401, 0.454, 0.837], [0.885, 0.333, 0.328], [0.378, 0.239, 0.432], [0.427, 0.476, 0.220], [0.926, 0.598, 0.712], [0.987, 0.546, 0.055], [0.456, 0.034, 0.888], [0.490, 0.889, 0.217], [0.495, 0.710, 0.587], [0.768, 0.167, 0.672]]
}

---

{
  "formula": "Sr3In3Pb",
  "functional": "PBE",
  "state": "relaxed",
  "e_form_ev_per_atom": -0.413,
  "rho_g_cm3": 5.55,
  "space_group": "C2/m (12)",
  "dft_energy_ev_per_cell": -39.71,
  "cell": [[6.177, -2.491, 0.000], [6.177, 2.491, 0.000], [-5.298, 0.000, 15.850]],
  "species": ["Sr", "Sr", "Sr", "Sr", "Sr", "Sr", "In", "In", "In", "In", "In", "In", "Pb", "Pb"],
  "fractional_positions": [[0.020, 0.020, 0.377], [0.111, 0.111, 0.927], [0.233, 0.233, 0.224], [0.767, 0.767, 0.776], [0.889, 0.889, 0.073], [0.980, 0.980, 0.623], [0.367, 0.367, 0.466], [0.394, 0.394, 0.923], [0.485, 0.485, 0.776], [0.515, 0.515, 0.224], [0.606, 0.606, 0.077], [0.633, 0.633, 0.534], [0.268, 0.268, 0.618], [0.732, 0.732, 0.382]]
}

---

{
  "formula": "SrInPb3",
  "functional": "PBE",
  "state": "relaxed",
  "e_form_ev_per_atom": -0.185,
  "rho_g_cm3": 8.50,
  "space_group": "P2_1/m (11)",
  "dft_energy_ev_per_cell": -32.94,
  "de_polymorph_mev_per_atom": 0,
  "cell": [[8.069, 0.000, 0.000], [0.000, 4.938, 0.000], [-0.207, 0.000, 8.077]],
  "species": ["Sr", "Sr", "In", "In", "Pb", "Pb", "Pb", "Pb", "Pb", "Pb"],
  "fractional_positions": [[0.182, 0.250, 0.063], [0.818, 0.750, 0.937], [0.054, 0.750, 0.369], [0.946, 0.250, 0.631], [0.236, 0.750, 0.742], [0.345, 0.250, 0.458], [0.474, 0.750, 0.189], [0.526, 0.250, 0.811], [0.655, 0.750, 0.542], [0.764, 0.250, 0.258]]
}

---

Please write out number 2 again, unchanged.
{
  "formula": "Sr2InPb",
  "functional": "PBE",
  "state": "relaxed",
  "e_form_ev_per_atom": -0.477,
  "rho_g_cm3": 6.00,
  "space_group": "Cmmm (65)",
  "dft_energy_ev_per_cell": -23.44,
  "de_polymorph_mev_per_atom": 26,
  "cell": [[8.317, 0.000, 0.000], [0.000, 8.334, 0.000], [0.000, 0.000, 3.974]],
  "species": ["Sr", "Sr", "Sr", "Sr", "In", "In", "Pb", "Pb"],
  "fractional_positions": [[0.250, 0.250, 0.000], [0.250, 0.750, 0.000], [0.750, 0.250, 0.000], [0.750, 0.750, 0.000], [0.000, 0.000, 0.500], [0.500, 0.500, 0.500], [0.000, 0.500, 0.500], [0.500, 0.000, 0.500]]
}